Entry 1:
CsLi2PdPb, optimized geometry, DFT GGA-PBE; spin magnetization = 0.0 μB/f.u.; electronic total energy = -2.841 eV per atom
1.0
5.4093 0.0000 0.0000
0.0000 5.4093 0.0000
0.0000 0.0000 5.2303
Li Pd Cs Pb
2 1 1 1
Cartesian
0.0000 2.7047 0.0000 Li
2.7047 0.0000 0.0000 Li
0.0000 0.0000 0.0000 Pd
2.7047 2.7047 2.6152 Cs
0.0000 0.0000 2.6152 Pb

---

Entry 2:
CsLi2PtPb, optimized geometry, DFT GGA-PBE; spin magnetization = 0.0 μB/f.u.; electronic total energy = -3.073 eV per atom
1.0
-0.2696 2.0611 -4.9656
-5.3020 -0.9258 -0.0964
-0.8608 4.7208 2.0062
Cs Li Pt Pb
1 2 1 1
Cartesian
-3.2162 2.9281 -1.5279 Cs
-2.6510 -0.4629 -0.0482 Li
-0.1348 1.0305 -2.4828 Li
0.0000 0.0000 0.0000 Pt
-0.4304 2.3604 1.0031 Pb